Record 1
Material: Nb3Cu2Ni4
Method: DFT, PBE-GGA
State: relaxed

Results
Crystal system: monoclinic
Calculated formation energy, meV per atom: -122

a = 7.2889 Å, b = 7.2889 Å, c = 5.2713 Å
α = 90.02°, β = 90.02°, γ = 60.09°
Positions (direct):
Nb1 0.0004 0.9996 0.2500
Nb2 0.9996 0.0004 0.7500
Nb3 0.3383 0.3390 0.2498
Nb4 0.3390 0.3383 0.7498
Nb5 0.6610 0.6617 0.2502
Nb6 0.6617 0.6610 0.7502
Cu1 0.0023 0.3335 0.4991
Cu2 0.3335 0.0023 0.9991
Cu3 0.6665 0.9977 0.0009
Cu4 0.9977 0.6665 0.5009
Ni1 0.0023 0.3327 0.9991
Ni2 0.3312 0.6693 0.9999
Ni3 0.3307 0.6688 0.5001
Ni4 0.3327 0.0023 0.4991
Ni5 0.6673 0.9977 0.5009
Ni6 0.6688 0.3307 0.0001
Ni7 0.6693 0.3312 0.4999
Ni8 0.9977 0.6673 0.0009

=====

Record 2
Material: AgPtBr5
Method: DFT, PBE-GGA
State: relaxed

Results
Crystal system: monoclinic
E above lowest polymorph, eV/atom: 0.000
Formation energy from raw total energies, eV per formula unit: -1.56

a = 6.9746 Å, b = 6.9746 Å, c = 9.8392 Å
α = 107.60°, β = 107.60°, γ = 87.27°
Positions (direct):
Ag1 0.0443 0.9557 0.7500
Ag2 0.9557 0.0443 0.2500
Pt1 0.0000 0.5000 0.0000
Pt2 0.5000 0.0000 0.5000
Br1 0.1687 0.6137 0.8463
Br2 0.2236 0.2363 0.5096
Br3 0.2363 0.2236 0.0096
Br4 0.2402 0.7598 0.2500
Br5 0.3863 0.8313 0.6537
Br6 0.6137 0.1687 0.3463
Br7 0.7598 0.2402 0.7500
Br8 0.7637 0.7764 0.9904
Br9 0.7764 0.7637 0.4904
Br10 0.8313 0.3863 0.1537

=====

Record 3
Material: TaCl2
Method: DFT, PBE-GGA
State: relaxed

Results
Crystal system: cubic
Formation energy from raw total energies, eV per formula unit: 3.90

a = 5.4610 Å, b = 5.4610 Å, c = 5.4610 Å
α = 60.00°, β = 60.00°, γ = 60.00°
Positions (direct):
Ta1 0.1250 0.1250 0.1250
Ta2 0.8750 0.8750 0.8750
Cl1 0.0000 0.5000 0.5000
Cl2 0.5000 0.0000 0.5000
Cl3 0.5000 0.5000 0.0000
Cl4 0.5000 0.5000 0.5000

=====

Record 4
Material: SrTaRe2
Method: DFT, PBE-GGA
State: relaxed

Results
Crystal system: cubic
E above lowest polymorph, eV/atom: 0.371
Calculated formation energy, meV per atom: 916

a = 4.7232 Å, b = 4.7232 Å, c = 4.7232 Å
α = 60.00°, β = 60.00°, γ = 60.00°
Positions (direct):
Sr1 0.0000 0.0000 0.0000
Ta1 0.5000 0.5000 0.5000
Re1 0.2500 0.2500 0.2500
Re2 0.7500 0.7500 0.7500

=====

Record 5
Material: Tl4In2Sn
Method: DFT, PBE-GGA
State: relaxed

Results
Crystal system: triclinic
E above lowest polymorph, eV/atom: 0.000
Calculated formation energy, meV per atom: 47

a = 8.0767 Å, b = 8.0882 Å, c = 8.2630 Å
α = 108.73°, β = 109.41°, γ = 108.22°
Positions (direct):
Tl1 0.0000 0.0000 0.0000
Tl2 0.0293 0.5582 0.6519
Tl3 0.2199 0.1466 0.7380
Tl4 0.4758 0.8995 0.6918
Tl5 0.6107 0.5949 0.8771
Tl6 0.6888 0.3571 0.1641
Tl7 0.8208 0.0255 0.3438
Tl8 0.8750 0.3046 0.8514
In1 0.0989 0.7707 0.2720
In2 0.2081 0.4190 0.3765
In3 0.3775 0.9239 0.0558
In4 0.7105 0.7051 0.5188
Sn1 0.3616 0.5702 0.1233
Sn2 0.4806 0.2260 0.4632

=====

Record 6
Material: KTcIrN2
Method: DFT, PBE-GGA
State: relaxed

Results
Crystal system: tetragonal
Formation energy from raw total energies, eV per formula unit: 7.68

a = 3.9443 Å, b = 3.9443 Å, c = 5.3607 Å
α = 90.00°, β = 90.00°, γ = 90.00°
Positions (direct):
K1 0.0000 0.0000 0.0000
Tc1 0.5000 0.5000 0.0000
Ir1 0.5000 0.5000 0.5000
N1 0.0000 0.5000 0.5000
N2 0.5000 0.0000 0.5000

=====

Record 7
Material: PrNb3Ge2
Method: DFT, PBE-GGA
State: relaxed

Results
Crystal system: monoclinic
Calculated formation energy, meV per atom: -430

a = 7.7393 Å, b = 7.7393 Å, c = 8.6606 Å
α = 115.83°, β = 115.83°, γ = 33.03°
Positions (direct):
Pr1 0.1488 0.1488 0.0620
Pr2 0.8512 0.8512 0.9380
Nb1 0.0495 0.0495 0.3702
Nb2 0.3158 0.3158 0.5314
Nb3 0.4242 0.4242 0.3378
Nb4 0.5758 0.5758 0.6622
Nb5 0.6842 0.6842 0.4686
Nb6 0.9505 0.9505 0.6298
Ge1 0.1924 0.1924 0.7084
Ge2 0.4773 0.4773 0.8443
Ge3 0.5227 0.5227 0.1557
Ge4 0.8076 0.8076 0.2916

=====

Record 8
Material: Pr4CoSCl2
Method: DFT, PBE-GGA
State: relaxed

Results
Crystal system: monoclinic
Formation energy from raw total energies, eV per formula unit: -10.19

a = 7.3443 Å, b = 3.9507 Å, c = 7.5761 Å
α = 90.00°, β = 107.89°, γ = 90.00°
Positions (direct):
Pr1 0.2152 0.0000 0.2068
Pr2 0.2575 0.5000 0.7837
Pr3 0.7425 0.5000 0.2163
Pr4 0.7848 0.0000 0.7932
Co1 0.0000 0.5000 0.0000
S1 0.5000 0.0000 0.0000
Cl1 0.0000 0.0000 0.5000
Cl2 0.5000 0.5000 0.5000

=====

Number 1: energy -6.958 eV per atom, calculated density 8.8 g/cm³. Number 2: energy -2.688 eV per atom, calculated density 5.4 g/cm³. Number 3: energy -3.882 eV per atom, calculated density 7.3 g/cm³. Number 4: energy -8.692 eV per atom, calculated density 14.3 g/cm³. Number 5: energy -2.659 eV per atom, calculated density 9.1 g/cm³. Number 6: energy -5.859 eV per atom, calculated density 7.1 g/cm³. Number 7: energy -7.801 eV per atom, calculated density 7.4 g/cm³. Number 8: energy -5.530 eV per atom, calculated density 5.8 g/cm³.